--- 1 ---
Entry from the Alexandria database: crystalline HfTaIr at its relaxed geometry (PBE-GGA).

a = 3.1934 Å, b = 4.4912 Å, c = 15.3195 Å
α = 90.00°, β = 90.00°, γ = 90.00°
Last column: nearest neighbours and their distance in Å.
Atoms (fractional coordinates):
Hf 0.5000 0.0000 0.1781  5 Ir 2.75-2.81
Hf 0.5000 0.0000 0.8219  5 Ir 2.75-2.81
Hf 0.0000 0.5000 0.6781  5 Ir 2.75-2.81
Hf 0.0000 0.5000 0.3219  5 Ir 2.75-2.81
Ta 0.0000 0.0000 0.0000  4 Ta 2.76
Ta 0.5000 0.5000 0.5000  4 Ta 2.76
Ta 0.5000 0.5000 0.0000  4 Ir 2.71, 4 Ta 2.76
Ta 0.0000 0.0000 0.5000  4 Ir 2.71, 4 Ta 2.76
Ir 0.5000 0.0000 0.3574  2 Ta 2.71, 5 Hf 2.75-2.81
Ir 0.5000 0.0000 0.6426  2 Ta 2.71, 5 Hf 2.75-2.81
Ir 0.0000 0.5000 0.8574  2 Ta 2.71, 5 Hf 2.75-2.81
Ir 0.0000 0.5000 0.1426  2 Ta 2.71, 5 Hf 2.75-2.81

=====

--- 2 ---
Entry from the Alexandria database: crystalline HfTaIr at its relaxed geometry (PBE-GGA).

a = 3.2265 Å, b = 7.6615 Å, c = 4.4486 Å
α = 90.00°, β = 90.00°, γ = 90.00°
Last column: nearest neighbours and their distance in Å.
Atoms (fractional coordinates):
Hf 0.0000 0.3553 0.0000  5 Ir 2.75-2.80
Hf 0.5000 0.6447 0.5000  5 Ir 2.75-2.80
Ta 0.0000 0.0052 0.5000  2 Ir 2.69, 4 Ta 2.75
Ta 0.5000 0.9948 0.0000  2 Ir 2.69, 4 Ta 2.75
Ir 0.0000 0.7143 0.0000  2 Ta 2.69, 5 Hf 2.75-2.80
Ir 0.5000 0.2857 0.5000  2 Ta 2.69, 5 Hf 2.75-2.80

=====

--- 3 ---
Entry from the Alexandria database: crystalline HfTaIr at its relaxed geometry (PBE-GGA).

a = 4.6860 Å, b = 3.1347 Å, c = 7.4592 Å
α = 90.00°, β = 103.77°, γ = 90.00°
Last column: nearest neighbours and their distance in Å.
Atoms (fractional coordinates):
Hf 0.1535 0.0000 0.3447  6 Ir 2.77-2.95, 2 Ta 2.95, 1 Hf 3.00
Hf 0.8465 0.0000 0.6553  6 Ir 2.77-2.95, 2 Ta 2.95, 1 Hf 3.00
Ta 0.5000 0.0000 0.0000  4 Ir 2.77, 4 Ta 2.82
Ta 0.0000 0.5000 0.0000  6 Ta 2.82-3.13, 4 Hf 2.95
Ir 0.3730 0.5000 0.6847  6 Hf 2.77-2.95, 2 Ta 2.77
Ir 0.6270 0.5000 0.3153  6 Hf 2.77-2.95, 2 Ta 2.77

=====

If we sort the structures by their calculated energies, the order from most to least stable is 2, 1, 3.

=====

--- 1 ---
Entry from the Alexandria database: crystalline HfTc2Ir2 at its relaxed geometry (PBE-GGA).

a = 7.5982 Å, b = 7.5982 Å, c = 2.7844 Å
α = 90.00°, β = 90.00°, γ = 90.00°
Last column: nearest neighbours and their distance in Å.
Atoms (fractional coordinates):
Ir 0.1746 0.6746 0.5000  6 Tc 2.61-2.67, 2 Ir 2.78
Ir 0.6746 0.8254 0.5000  6 Tc 2.61-2.67, 2 Ir 2.78
Ir 0.8254 0.3254 0.5000  6 Tc 2.61-2.67, 2 Ir 2.78
Ir 0.3254 0.1746 0.5000  6 Tc 2.61-2.67, 2 Ir 2.78
Hf 0.0000 0.0000 0.0000  2 Hf 2.78, 4 Tc 3.03
Hf 0.5000 0.5000 0.0000  2 Hf 2.78, 4 Tc 3.03
Tc 0.3799 0.8799 0.0000  3 Tc 2.58-2.78, 6 Ir 2.61-2.67
Tc 0.8799 0.6201 0.0000  3 Tc 2.58-2.78, 6 Ir 2.61-2.67
Tc 0.6201 0.1201 0.0000  3 Tc 2.58-2.78, 6 Ir 2.61-2.67
Tc 0.1201 0.3799 0.0000  3 Tc 2.58-2.78, 6 Ir 2.61-2.67

=====

--- 2 ---
Entry from the Alexandria database: crystalline HfTc2Ir2 at its relaxed geometry (PBE-GGA).

a = 7.6117 Å, b = 7.6117 Å, c = 2.7822 Å
α = 90.00°, β = 90.00°, γ = 90.00°
Last column: nearest neighbours and their distance in Å.
Atoms (fractional coordinates):
Ir 0.3768 0.8768 0.0000  6 Tc 2.59-2.69, 3 Ir 2.65-2.78
Ir 0.8768 0.6232 0.0000  6 Tc 2.59-2.69, 3 Ir 2.65-2.78
Ir 0.6232 0.1232 0.0000  6 Tc 2.59-2.69, 3 Ir 2.65-2.78
Ir 0.1232 0.3768 0.0000  6 Tc 2.59-2.69, 3 Ir 2.65-2.78
Hf 0.0000 0.0000 0.0000  2 Hf 2.78, 4 Ir 3.02
Hf 0.5000 0.5000 0.0000  2 Hf 2.78, 4 Ir 3.02
Tc 0.1743 0.6743 0.5000  6 Ir 2.59-2.69, 2 Tc 2.78
Tc 0.6743 0.8257 0.5000  6 Ir 2.59-2.69, 2 Tc 2.78
Tc 0.8257 0.3257 0.5000  6 Ir 2.59-2.69, 2 Tc 2.78
Tc 0.3257 0.1743 0.5000  6 Ir 2.59-2.69, 2 Tc 2.78

=====

If we sort the structures by their calculated energies, the order from most to least stable is 1, 2.

=====

--- 1 ---
Entry from the Alexandria database: crystalline HfTcIr2 at its relaxed geometry (PBE-GGA).

a = 4.5370 Å, b = 4.5370 Å, c = 4.5370 Å
α = 60.00°, β = 60.00°, γ = 60.00°
Last column: nearest neighbours and their distance in Å.
Atoms (fractional coordinates):
Ir 0.2500 0.2500 0.2500  4 Hf 2.78, 4 Tc 2.78
Ir 0.7500 0.7500 0.7500  4 Hf 2.78, 4 Tc 2.78
Hf 0.5000 0.5000 0.5000  8 Ir 2.78
Tc 0.0000 0.0000 0.0000  8 Ir 2.78

=====

--- 2 ---
Entry from the Alexandria database: crystalline HfTcIr2 at its relaxed geometry (PBE-GGA).

a = 3.9241 Å, b = 4.0063 Å, c = 4.0063 Å
α = 90.00°, β = 90.00°, γ = 90.00°
Last column: nearest neighbours and their distance in Å.
Atoms (fractional coordinates):
Ir 0.0000 0.0000 0.5000  4 Hf 2.80, 4 Tc 2.80, 4 Ir 2.83
Ir 0.0000 0.5000 0.0000  4 Tc 2.80, 4 Hf 2.80, 4 Ir 2.83
Hf 0.5000 0.5000 0.5000  8 Ir 2.80, 4 Tc 2.83
Tc 0.5000 0.0000 0.0000  8 Ir 2.80, 4 Hf 2.83

=====

--- 3 ---
Entry from the Alexandria database: crystalline HfTcIr2 at its relaxed geometry (PBE-GGA).

a = 3.9250 Å, b = 3.9250 Å, c = 9.4653 Å
α = 78.03°, β = 78.03°, γ = 90.00°
Last column: nearest neighbours and their distance in Å.
Atoms (fractional coordinates):
Ir 0.6074 0.1250 0.2500  2 Tc 2.63, 4 Ir 2.68-2.87, 2 Hf 2.68
Ir 0.1426 0.6250 0.2500  2 Tc 2.63, 4 Ir 2.68-2.87, 2 Hf 2.68
Ir 0.3750 0.3926 0.7500  2 Tc 2.63, 4 Ir 2.68-2.87, 2 Hf 2.68
Ir 0.8750 0.8574 0.7500  2 Tc 2.63, 4 Ir 2.68-2.87, 2 Hf 2.68
Hf 0.0000 0.0000 0.0000  4 Ir 2.68, 4 Tc 2.78
Hf 0.7500 0.2500 0.5000  4 Ir 2.68, 4 Tc 2.78
Tc 0.5000 0.5000 0.0000  4 Ir 2.63, 4 Hf 2.78
Tc 0.2500 0.7500 0.5000  4 Ir 2.63, 4 Hf 2.78

=====

If we sort the structures by their calculated energies, the order from most to least stable is 2, 1, 3.

=====

--- 1 ---
Entry from the Alexandria database: crystalline HfTi2Ir2 at its relaxed geometry (PBE-GGA).

a = 4.1269 Å, b = 4.1269 Å, c = 6.1073 Å
α = 70.25°, β = 70.25°, γ = 90.00°
Last column: nearest neighbours and their distance in Å.
Atoms (fractional coordinates):
Ir 0.3839 0.3839 0.2322  1 Ir 2.49, 4 Ti 2.51
Ir 0.6161 0.6161 0.7678  1 Ir 2.49, 4 Ti 2.51
Hf 0.0000 0.0000 0.0000  8 Ir 3.17, 8 Ti 3.38
Ti 0.7500 0.2500 0.5000  4 Ir 2.51
Ti 0.2500 0.7500 0.5000  4 Ir 2.51

=====

--- 2 ---
Entry from the Alexandria database: crystalline HfTi2Ir2 at its relaxed geometry (PBE-GGA).

a = 6.8736 Å, b = 6.8736 Å, c = 7.3402 Å
α = 122.27°, β = 122.27°, γ = 101.78°
Last column: nearest neighbours and their distance in Å.
Atoms (fractional coordinates):
Hf 0.8461 0.6539 0.7500  2 Ir 2.64, 2 Ti 2.93
Hf 0.1539 0.3461 0.2500  2 Ir 2.64, 2 Ti 2.93
Ti 0.3394 0.1604 0.5436  5 Ir 2.54-2.77
Ti 0.6604 0.8394 0.0436  5 Ir 2.54-2.77
Ti 0.6606 0.8396 0.4564  5 Ir 2.54-2.77
Ti 0.3396 0.1606 0.9564  5 Ir 2.54-2.77
Ir 0.1448 0.3552 0.7500  6 Ti 2.57-2.77
Ir 0.4652 0.0348 0.2500  4 Ti 2.54-2.58, 2 Hf 2.64
Ir 0.5348 0.9652 0.7500  4 Ti 2.54-2.58, 2 Hf 2.64
Ir 0.8552 0.6448 0.2500  6 Ti 2.57-2.77

=====

--- 3 ---
Entry from the Alexandria database: crystalline HfTi2Ir2 at its relaxed geometry (PBE-GGA).

a = 7.6276 Å, b = 7.6276 Å, c = 2.8533 Å
α = 90.00°, β = 90.00°, γ = 90.00°
Last column: nearest neighbours and their distance in Å.
Atoms (fractional coordinates):
Ir 0.1568 0.6568 0.5000  6 Ti 2.60-2.69, 2 Ir 2.85
Ir 0.6568 0.8432 0.5000  6 Ti 2.60-2.69, 2 Ir 2.85
Ir 0.8432 0.3432 0.5000  6 Ti 2.60-2.69, 2 Ir 2.85
Ir 0.3432 0.1568 0.5000  6 Ti 2.60-2.69, 2 Ir 2.85
Hf 0.0000 0.0000 0.0000  2 Hf 2.85, 4 Ti 2.94
Hf 0.5000 0.5000 0.0000  2 Hf 2.85, 4 Ti 2.94
Ti 0.3585 0.8585 0.0000  6 Ir 2.60-2.69, 2 Ti 2.85
Ti 0.8585 0.6415 0.0000  6 Ir 2.60-2.69, 2 Ti 2.85
Ti 0.6415 0.1415 0.0000  6 Ir 2.60-2.69, 2 Ti 2.85
Ti 0.1415 0.3585 0.0000  6 Ir 2.60-2.69, 2 Ti 2.85

=====

If we sort the structures by their calculated energies, the order from most to least stable is 3, 1, 2.

=====

--- 1 ---
Entry from the Alexandria database: crystalline HfTi3Ir at its relaxed geometry (PBE-GGA).

a = 5.3400 Å, b = 5.5528 Å, c = 6.7521 Å
α = 114.28°, β = 90.00°, γ = 90.00°
Last column: nearest neighbours and their distance in Å.
Atoms (fractional coordinates):
Hf 0.2500 0.4189 0.8378  8 Ti 3.01-3.13, 4 Ir 3.24, 2 Hf 3.33
Hf 0.7500 0.5811 0.1622  8 Ti 3.01-3.13, 4 Ir 3.24, 2 Hf 3.33
Ti 0.2500 0.8243 0.6486  2 Ir 2.54, 2 Ti 2.60
Ti 0.7500 0.1757 0.3514  2 Ir 2.54, 2 Ti 2.60
Ti 0.2500 0.3943 0.2922  3 Ti 2.60-2.80, 2 Ir 2.63
Ti 0.7500 0.6057 0.7078  3 Ti 2.60-2.80, 2 Ir 2.63
Ti 0.2500 0.8978 0.2922  3 Ti 2.60-2.80, 2 Ir 2.63
Ti 0.7500 0.1022 0.7078  3 Ti 2.60-2.80, 2 Ir 2.63
Ir 0.0000 0.0000 0.0000  6 Ti 2.54-2.63, 2 Ir 2.67
Ir 0.5000 0.0000 0.0000  6 Ti 2.54-2.63, 2 Ir 2.67

=====

--- 2 ---
Entry from the Alexandria database: crystalline HfTi3Ir at its relaxed geometry (PBE-GGA).

a = 4.7382 Å, b = 4.7382 Å, c = 4.7382 Å
α = 90.00°, β = 90.00°, γ = 90.00°
Last column: nearest neighbours and their distance in Å.
Atoms (fractional coordinates):
Ir 0.0000 0.0000 0.0000  6 Ti 2.37
Hf 0.5000 0.5000 0.5000  12 Ti 3.35
Ti 0.0000 0.5000 0.0000  2 Ir 2.37
Ti 0.0000 0.0000 0.5000  2 Ir 2.37
Ti 0.5000 0.0000 0.0000  2 Ir 2.37

=====

--- 3 ---
Entry from the Alexandria database: crystalline HfTi3Ir at its relaxed geometry (PBE-GGA).

a = 4.6643 Å, b = 4.6643 Å, c = 4.6643 Å
α = 90.00°, β = 90.00°, γ = 90.00°
Last column: nearest neighbours and their distance in Å.
Atoms (fractional coordinates):
Ir 0.5000 0.5000 0.5000  12 Ti 3.30
Hf 0.0000 0.0000 0.0000  6 Ti 2.33
Ti 0.0000 0.5000 0.0000  2 Hf 2.33
Ti 0.0000 0.0000 0.5000  2 Hf 2.33
Ti 0.5000 0.0000 0.0000  2 Hf 2.33

=====

If we sort the structures by their calculated energies, the order from most to least stable is 1, 2, 3.

=====

--- 1 ---
Entry from the Alexandria database: crystalline HfTi2Ir at its relaxed geometry (PBE-GGA).

a = 3.2197 Å, b = 4.5194 Å, c = 5.4680 Å
α = 114.37°, β = 107.12°, γ = 90.00°
Last column: nearest neighbours and their distance in Å.
Atoms (fractional coordinates):
Hf 0.0000 0.5000 0.0000  4 Ir 2.77, 4 Ti 2.98
Ti 0.7661 0.7661 0.5322  2 Ir 2.73, 4 Ti 2.79, 2 Hf 2.98
Ti 0.2339 0.2339 0.4678  2 Ir 2.73, 4 Ti 2.79, 2 Hf 2.98
Ir 0.5000 0.0000 0.0000  4 Ti 2.73, 4 Hf 2.77

=====

--- 2 ---
Entry from the Alexandria database: crystalline HfTi2Ir at its relaxed geometry (PBE-GGA).

a = 3.1229 Å, b = 3.1229 Å, c = 7.0370 Å
α = 90.00°, β = 90.00°, γ = 90.00°
Last column: nearest neighbours and their distance in Å.
Atoms (fractional coordinates):
Ir 0.5000 0.5000 0.0000  8 Ti 2.70
Hf 0.5000 0.5000 0.5000  8 Ti 2.95, 4 Hf 3.12
Ti 0.0000 0.0000 0.7789  4 Ir 2.70, 4 Hf 2.95
Ti 0.0000 0.0000 0.2211  4 Ir 2.70, 4 Hf 2.95

=====

--- 3 ---
Entry from the Alexandria database: crystalline HfTi2Ir at its relaxed geometry (PBE-GGA).

a = 3.0429 Å, b = 4.6105 Å, c = 10.2556 Å
α = 90.00°, β = 98.53°, γ = 90.00°
Last column: nearest neighbours and their distance in Å.
Atoms (fractional coordinates):
Hf 0.3855 0.2500 0.7710  4 Ir 2.84, 2 Hf 3.04, 2 Ti 3.17
Hf 0.6145 0.7500 0.2290  4 Ir 2.84, 2 Hf 3.04, 2 Ti 3.17
Ti 0.7483 0.2500 0.4965  2 Ir 2.54, 4 Ti 2.76
Ti 0.2517 0.7500 0.5035  2 Ir 2.54, 4 Ti 2.76
Ti 0.0243 0.2500 0.0487  1 Ir 2.50, 2 Ti 2.51
Ti 0.9757 0.7500 0.9513  1 Ir 2.50, 2 Ti 2.51
Ir 0.1477 0.2500 0.2954  3 Ti 2.50-2.54
Ir 0.8523 0.7500 0.7046  3 Ti 2.50-2.54

=====

If we sort the structures by their calculated energies, the order from most to least stable is 1, 2, 3.

=====

--- 1 ---
Entry from the Alexandria database: crystalline HfTi2Ir at its relaxed geometry (PBE-GGA).

a = 4.5395 Å, b = 4.5395 Å, c = 4.5395 Å
α = 60.00°, β = 60.00°, γ = 60.00°
Last column: nearest neighbours and their distance in Å.
Atoms (fractional coordinates):
Ir 0.5000 0.5000 0.5000  8 Ti 2.78
Hf 0.0000 0.0000 0.0000  8 Ti 2.78
Ti 0.2500 0.2500 0.2500  4 Ir 2.78, 4 Hf 2.78
Ti 0.7500 0.7500 0.7500  4 Hf 2.78, 4 Ir 2.78

=====

--- 2 ---
Entry from the Alexandria database: crystalline HfTi2Ir at its relaxed geometry (PBE-GGA).

a = 7.4107 Å, b = 7.4107 Å, c = 5.9159 Å
α = 51.22°, β = 51.22°, γ = 90.00°
Last column: nearest neighbours and their distance in Å.
Atoms (fractional coordinates):
Ir 0.0000 0.0000 0.0000  4 Ti 2.48, 2 Hf 2.75
Ir 0.7500 0.2500 0.5000  4 Ti 2.48, 2 Hf 2.75
Hf 0.5000 0.5000 0.0000  2 Ir 2.75, 4 Ti 2.96
Hf 0.2500 0.7500 0.5000  2 Ir 2.75, 4 Ti 2.96
Ti 0.6716 0.1250 0.2500  2 Ir 2.48
Ti 0.0784 0.6250 0.2500  2 Ir 2.48
Ti 0.3750 0.3284 0.7500  2 Ir 2.48
Ti 0.8750 0.9216 0.7500  2 Ir 2.48

=====

--- 3 ---
Entry from the Alexandria database: crystalline HfTi2Ir at its relaxed geometry (PBE-GGA).

a = 4.6563 Å, b = 3.8578 Å, c = 3.8578 Å
α = 90.00°, β = 90.00°, γ = 90.00°
Last column: nearest neighbours and their distance in Å.
Atoms (fractional coordinates):
Ir 0.5000 0.5000 0.5000  4 Hf 2.73, 8 Ti 3.02
Hf 0.5000 0.0000 0.0000  4 Ir 2.73, 8 Ti 3.02
Ti 0.0000 0.0000 0.5000  4 Ti 2.73, 4 Hf 3.02, 4 Ir 3.02
Ti 0.0000 0.5000 0.0000  4 Ti 2.73, 4 Hf 3.02, 4 Ir 3.02

=====

If we sort the structures by their calculated energies, the order from most to least stable is 3, 1, 2.

=====

--- 1 ---
Entry from the Alexandria database: crystalline Hf2TlIr at its relaxed geometry (PBE-GGA).

a = 7.6126 Å, b = 7.6126 Å, c = 6.2187 Å
α = 52.26°, β = 52.26°, γ = 90.00°
Last column: nearest neighbours and their distance in Å.
Atoms (fractional coordinates):
Tl 0.0000 0.0000 0.0000  8 Hf 3.06-3.38, 2 Ir 3.11
Tl 0.7500 0.2500 0.5000  8 Hf 3.06-3.38, 2 Ir 3.11
Ir 0.5000 0.5000 0.0000  4 Hf 2.57
Ir 0.2500 0.7500 0.5000  4 Hf 2.57
Hf 0.5772 0.1250 0.2500  2 Ir 2.57
Hf 0.1728 0.6250 0.2500  2 Ir 2.57
Hf 0.3750 0.4228 0.7500  2 Ir 2.57
Hf 0.8750 0.8272 0.7500  2 Ir 2.57

=====

--- 2 ---
Entry from the Alexandria database: crystalline Hf2TlIr at its relaxed geometry (PBE-GGA).

a = 4.8280 Å, b = 4.8280 Å, c = 4.8280 Å
α = 60.00°, β = 60.00°, γ = 60.00°
Last column: nearest neighbours and their distance in Å.
Atoms (fractional coordinates):
Tl 0.5000 0.5000 0.5000  8 Hf 2.96
Ir 0.0000 0.0000 0.0000  8 Hf 2.96
Hf 0.2500 0.2500 0.2500  4 Tl 2.96, 4 Ir 2.96
Hf 0.7500 0.7500 0.7500  4 Tl 2.96, 4 Ir 2.96

=====

--- 3 ---
Entry from the Alexandria database: crystalline Hf2TlIr at its relaxed geometry (PBE-GGA).

a = 3.0877 Å, b = 3.0877 Å, c = 8.3862 Å
α = 90.00°, β = 90.00°, γ = 90.00°
Last column: nearest neighbours and their distance in Å.
Atoms (fractional coordinates):
Tl 0.5000 0.5000 0.5000  4 Tl 3.09, 8 Hf 3.24
Ir 0.5000 0.5000 0.0000  8 Hf 2.83, 4 Ir 3.09
Hf 0.0000 0.0000 0.7852  4 Ir 2.83, 4 Hf 3.09
Hf 0.0000 0.0000 0.2148  4 Ir 2.83, 4 Hf 3.09

=====

If we sort the structures by their calculated energies, the order from most to least stable is 3, 2, 1.